# BiMoHOs2 (PBE-GGA, optimized geometry)
data_BiMoHOs2
_cell_length_a 4.7274
_cell_length_b 5.3791
_cell_length_c 4.7274
_cell_angle_alpha 90.00
_cell_angle_beta 90.00
_cell_angle_gamma 90.00
_symmetry_space_group_name_H-M 'P 1'
_symmetry_Int_Tables_number 1
loop_
_symmetry_equiv_pos_as_xyz
'x,y,z'
loop_
_atom_site_label
_atom_site_fract_x
_atom_site_fract_y
_atom_site_fract_z
Os1 0.0000 0.0000 0.5000
Os2 0.5000 0.0000 0.0000
H1 0.5000 0.5000 0.5000
Mo1 0.0000 0.0000 0.0000
Bi1 0.0000 0.5000 0.0000
# * raw total energy: -5.833 eV/atom
# * ρ: 9.48 g/cm³
# * SG: P4/mmm, No. 123

---

# Rb2BiMoH (PBE-GGA, optimized geometry)
data_Rb2BiMoH
_cell_length_a 7.2892
_cell_length_b 3.9978
_cell_length_c 7.2892
_cell_angle_alpha 90.00
_cell_angle_beta 90.00
_cell_angle_gamma 90.00
_symmetry_space_group_name_H-M 'P 1'
_symmetry_Int_Tables_number 1
loop_
_symmetry_equiv_pos_as_xyz
'x,y,z'
loop_
_atom_site_label
_atom_site_fract_x
_atom_site_fract_y
_atom_site_fract_z
H1 0.0000 0.5000 0.0000
Bi1 0.0000 0.0000 0.0000
Mo1 0.5000 0.5000 0.5000
Rb1 0.5000 0.0000 0.0000
Rb2 0.0000 0.0000 0.5000
# * raw total energy: -2.905 eV/atom
# * ρ: 3.73 g/cm³
# * SG: P4/mmm, No. 123

---

# BiMoH2Rh (PBE-GGA, optimized geometry)
data_BiMoH2Rh
_cell_length_a 3.8412
_cell_length_b 5.0279
_cell_length_c 3.8412
_cell_angle_alpha 90.00
_cell_angle_beta 90.00
_cell_angle_gamma 90.00
_symmetry_space_group_name_H-M 'P 1'
_symmetry_Int_Tables_number 1
loop_
_symmetry_equiv_pos_as_xyz
'x,y,z'
loop_
_atom_site_label
_atom_site_fract_x
_atom_site_fract_y
_atom_site_fract_z
Bi1 0.5000 0.5000 0.5000
H1 0.0000 0.0000 0.5000
H2 0.5000 0.0000 0.0000
Rh1 0.0000 0.0000 0.0000
Mo1 0.0000 0.5000 0.0000
# * raw total energy: -5.047 eV/atom
# * ρ: 9.17 g/cm³
# * SG: P4/mmm, No. 123

---

# ScBiMo2H (PBE-GGA, optimized geometry)
data_ScBiMo2H
_cell_length_a 5.0975
_cell_length_b 3.4560
_cell_length_c 5.0975
_cell_angle_alpha 90.00
_cell_angle_beta 90.00
_cell_angle_gamma 90.00
_symmetry_space_group_name_H-M 'P 1'
_symmetry_Int_Tables_number 1
loop_
_symmetry_equiv_pos_as_xyz
'x,y,z'
loop_
_atom_site_label
_atom_site_fract_x
_atom_site_fract_y
_atom_site_fract_z
H1 0.0000 0.5000 0.0000
Mo1 0.0000 0.0000 0.5000
Mo2 0.5000 0.0000 0.0000
Bi1 0.5000 0.5000 0.5000
Sc1 0.0000 0.0000 0.0000
# * raw total energy: -5.902 eV/atom
# * ρ: 8.26 g/cm³
# * SG: P4/mmm, No. 123

---

> Look up the raw total energy of the second one.

-2.905 eV/atom

---

> Number 2 is which compound?

Rb2BiMoH

---

> Look up the raw total energy of the fourth one.

-5.902 eV/atom